# Tb4Nd2Ho, optimized geometry, DFT GGA-PBE
# * Fermi-level density of states: 26.53 states/eV/cell
# * distance to the lowest polymorph of the same formula: 0 meV per atom
# * formation enthalpy at 0 K: 0.016 eV/atom
data_Tb4Nd2Ho
_cell_length_a 3.5863
_cell_length_b 3.5863
_cell_length_c 61.4507
_cell_angle_alpha 90.00
_cell_angle_beta 90.00
_cell_angle_gamma 120.00
_space_group_name_H-M_alt 'R -3 m'
_space_group_IT_number 166
_space_group_name_Hall '-R 3 2"'
loop_
_atom_site_label
_atom_site_fract_x
_atom_site_fract_y
_atom_site_fract_z
Tb1 0.0000 0.0000 0.1432
Tb2 0.0000 0.0000 0.2867
Nd1 0.0000 0.0000 0.4283
Ho1 0.0000 0.0000 0.0000